A plane-wave DFT calculation with GGA-PBE was carried out for a relaxed NpTl2Ni2S4 crystal.

The structure in POSCAR format:
```
NpTl2Ni2S4
1.0
-3.249 1.481 -1.446
-0.123 -7.022 -1.785
-2.907 0.601 7.147
Np Tl Ni S
1 2 2 4
Cartesian
0.000 0.000 0.000 Np
-4.100 -3.514 0.479 Tl
-2.180 -1.426 3.437 Tl
-1.120 -3.955 -1.536 Ni
-5.160 -0.984 5.453 Ni
-5.140 -2.563 3.791 S
-1.140 -2.376 0.126 S
-2.287 -5.804 -0.807 S
-3.992 0.864 4.723 S
```

Summary:
Total energy, eV/cell: -52.03
Calculated volume, Å³ per cell: 198.2
SG: C2/m (12)
DOS(E_F), states/eV/atom: 1.192
Magnetic moment, μB per formula unit: 1.72